Rb5Ag3F12 | PBE | optimized geometry

Lattice parameters (Å, degrees): 15.705 15.705 15.705 90.00 90.00 90.00
Space group Ia-3d (No. 230)
One atom of each set of equivalent atoms:
Rb (0.000, 0.000, 0.000)
Rb (0.000, 0.250, 0.375)
Ag (0.000, 0.250, 0.125)
F (0.023, 0.037, 0.172)

Values from the calculation:
Its total magnetization is 16.176 μB/cell. The value obtained for the mass density is 3.4 Mg/m³. For the uncorrected formation energy, the calculation gives -1798 meV per atom. For the total energy, the calculation gives -3.591 eV/atom.